# 1
Material: InFe3P5
Method: DFT, PBE
State: relaxed

- space group = P6/mmm (191)
- VASP energy (eV/atom) = -6.0613

Cell: 4.8356 4.8356 7.1547 Å, 90.00 90.00 120.00°
Last column: nearest neighbours and their distance in Å.
Fractional coordinates of all 9 atoms:
In1 0.0000 0.0000 0.0000  14 P 3.32-3.58
Fe1 0.0000 0.5000 0.5000  6 P 2.27-2.42, 4 Fe 2.42
Fe2 0.5000 0.0000 0.5000  6 P 2.27-2.42, 4 Fe 2.42
Fe3 0.5000 0.5000 0.5000  6 P 2.27-2.42, 4 Fe 2.42
P1 0.0000 0.0000 0.5000  6 Fe 2.42
P2 0.3333 0.6667 0.2503  3 Fe 2.27
P3 0.3333 0.6667 0.7497  3 Fe 2.27
P4 0.6667 0.3333 0.2503  3 Fe 2.27
P5 0.6667 0.3333 0.7497  3 Fe 2.27



# 2
Material: InFe2P2
Method: DFT, PBE
State: relaxed

- space group = P4/mbm (127)
- VASP energy (eV/atom) = -5.8603

Cell: 7.2513 7.2513 2.9849 Å, 90.00 90.00 90.00°
Last column: nearest neighbours and their distance in Å.
Fractional coordinates of all 10 atoms:
In1 0.0000 0.0000 0.0000  2 In 2.98, 8 P 3.11, 8 Fe 3.20
In2 0.5000 0.5000 0.0000  2 In 2.98, 8 P 3.11, 8 Fe 3.20
Fe1 0.1327 0.3673 0.5000  3 P 2.12-2.14
Fe2 0.3673 0.8673 0.5000  3 P 2.12-2.14
Fe3 0.6327 0.1327 0.5000  3 P 2.12-2.14
Fe4 0.8673 0.6327 0.5000  3 P 2.12-2.14
P1 0.1587 0.6587 0.5000  3 Fe 2.12-2.14
P2 0.3413 0.1587 0.5000  3 Fe 2.12-2.14
P3 0.6587 0.8413 0.5000  3 Fe 2.12-2.14
P4 0.8413 0.3413 0.5000  3 Fe 2.12-2.14



# 3
Material: InFe3Pb5
Method: DFT, PBE
State: relaxed

- space group = P6/mmm (191)
- VASP energy (eV/atom) = -4.8736

Cell: 5.4425 5.4425 8.6066 Å, 90.00 90.00 120.00°
Last column: nearest neighbours and their distance in Å.
Fractional coordinates of all 9 atoms:
In1 0.0000 0.0000 0.0000  12 Pb 3.66
Fe1 0.0000 0.5000 0.5000  4 Fe 2.72, 6 Pb 2.72-2.90
Fe2 0.5000 0.0000 0.5000  6 Pb 2.72-2.90, 4 Fe 2.72
Fe3 0.5000 0.5000 0.5000  4 Fe 2.72, 6 Pb 2.72-2.90
Pb1 0.0000 0.0000 0.5000  6 Fe 2.72
Pb2 0.3333 0.6667 0.2174  3 Fe 2.90, 3 Pb 3.14
Pb3 0.3333 0.6667 0.7826  3 Fe 2.90, 3 Pb 3.14
Pb4 0.6667 0.3333 0.2174  3 Fe 2.90, 3 Pb 3.14
Pb5 0.6667 0.3333 0.7826  3 Fe 2.90, 3 Pb 3.14



# 4
Material: InFePd2
Method: DFT, PBE
State: relaxed

- space group = F-43m (216)
- VASP energy (eV/atom) = -5.4867

Cell: 4.4805 4.4805 4.4805 Å, 60.00 60.00 60.00°
Last column: nearest neighbours and their distance in Å.
Fractional coordinates of all 4 atoms:
In1 0.0000 0.0000 0.0000  4 Pd 2.74, 4 Fe 2.74
Fe1 0.2500 0.2500 0.2500  4 Pd 2.74, 4 In 2.74
Pd1 0.5000 0.5000 0.5000  4 Fe 2.74, 4 Pd 2.74
Pd2 0.7500 0.7500 0.7500  4 Pd 2.74, 4 In 2.74